(1)
A plane-wave DFT calculation with PBE was carried out for a relaxed structure of Mg2TePtO6.

Cell: 5.699 5.699 4.411 Å, 90.00 90.00 90.00°
Positions (direct):
Mg  0.000  0.500  0.000
Mg  0.500  0.000  0.000
Te  0.000  0.000  0.693
Pt  0.500  0.500  0.768
O  0.000  0.000  0.271
O  0.250  0.250  0.831
O  0.250  0.750  0.831
O  0.500  0.500  0.276
O  0.750  0.250  0.831
O  0.750  0.750  0.831

**Symmetry**: P4mm, No. 99
**Total DFT energy (no corrections)**: -5.31 eV per atom
**Raw formation energy**: -1095 meV/atom
**DOS at the Fermi energy**: 2.25 states/eV/f.u.
**M_tot**: 0.0 μB/cell
**ρ**: 5.4 g/cm3

=====

(2)
A plane-wave DFT calculation with PBE was carried out for a relaxed structure of BaAl2Au.

Cell: 8.276 8.276 6.381 Å, 96.60 96.60 144.99°
Positions (direct):
Ba  0.081  0.919  0.750
Ba  0.919  0.081  0.250
Al  0.160  0.450  0.852
Al  0.450  0.160  0.352
Al  0.550  0.840  0.648
Al  0.840  0.550  0.148
Au  0.285  0.715  0.250
Au  0.715  0.285  0.750

**Symmetry**: C2/c, No. 15
**Total DFT energy (no corrections)**: -3.44 eV per atom
**DOS at the Fermi energy**: 2.64 states/eV/f.u.
**Formation enthalpy at 0 K**: -0.266 eV/atom
**M_tot**: 0.0 μB/cell
**ρ**: 5.6 g/cm3

=====

(3)
A plane-wave DFT calculation with PBE was carried out for a relaxed structure of PuGaIrPd.

Cell: 4.671 4.671 4.671 Å, 60.00 60.00 60.00°
Positions (direct):
Pu  0.000  0.000  0.000
Ga  0.500  0.500  0.500
Ir  0.750  0.750  0.750
Pd  0.250  0.250  0.250

**Symmetry**: F-43m, No. 216
**Total DFT energy (no corrections)**: -8.28 eV per atom
**DOS at the Fermi energy**: 6.66 states/eV/f.u.
**Formation enthalpy at 0 K**: -0.425 eV/atom
**M_tot**: 4.8 μB/cell
**ρ**: 14.1 g/cm3

=====

(4)
A plane-wave DFT calculation with PBE was carried out for a relaxed structure of Ac8GeOs3Br4.

Cell: 9.589 9.589 9.589 Å, 55.06 55.06 55.06°
Positions (direct):
Ac  0.214  0.739  0.739
Ac  0.234  0.234  0.234
Ac  0.261  0.261  0.786
Ac  0.261  0.786  0.261
Ac  0.739  0.214  0.739
Ac  0.739  0.739  0.214
Ac  0.766  0.766  0.766
Ac  0.786  0.261  0.261
Ge  0.500  0.500  0.500
Os  0.000  0.000  0.500
Os  0.000  0.500  0.000
Os  0.500  0.000  0.000
Br  0.000  0.000  0.000
Br  0.000  0.500  0.500
Br  0.500  0.000  0.500
Br  0.500  0.500  0.000

**Symmetry**: R-3m, No. 166
**Total DFT energy (no corrections)**: -5.69 eV per atom
**Raw formation energy**: -824 meV/atom
**DOS at the Fermi energy**: 9.26 states/eV/f.u.
**M_tot**: 0.0 μB/cell
**ρ**: 8.4 g/cm3

=====

(5)
A plane-wave DFT calculation with PBE was carried out for a relaxed structure of Ag2Pb.

Cell: 4.768 4.768 4.768 Å, 60.00 60.00 60.00°
Positions (direct):
Ag  0.250  0.250  0.250
Ag  0.750  0.750  0.750
Pb  0.000  0.000  0.000

**Symmetry**: Fm-3m, No. 225
**Total DFT energy (no corrections)**: -2.84 eV per atom
**DOS at the Fermi energy**: 1.80 states/eV/f.u.
**Formation enthalpy at 0 K**: 0.299 eV/atom
**M_tot**: 0.0 μB/cell
**ρ**: 9.2 g/cm3

=====

(6)
A plane-wave DFT calculation with PBE was carried out for a relaxed structure of Ag2SbS2Br.

Cell: 6.230 6.809 6.867 Å, 90.00 93.18 90.00°
Positions (direct):
Ag  0.013  0.250  0.292
Ag  0.385  0.250  0.557
Ag  0.615  0.750  0.443
Ag  0.987  0.750  0.708
Sb  0.405  0.250  0.116
Sb  0.595  0.750  0.884
S  0.291  0.001  0.838
S  0.291  0.499  0.838
S  0.709  0.501  0.162
S  0.709  0.999  0.162
Br  0.182  0.750  0.371
Br  0.818  0.250  0.629

**Symmetry**: P2_1/m, No. 11
**Total DFT energy (no corrections)**: -3.39 eV per atom
**Raw formation energy**: -100 meV/atom
**DOS at the Fermi energy**: 0.36 states/eV/f.u.
**M_tot**: 0.0 μB/cell
**ρ**: 5.5 g/cm3

=====

(7)
A plane-wave DFT calculation with PBE was carried out for a relaxed structure of TiMnPt2S.

Cell: 4.774 4.774 4.501 Å, 90.00 90.00 90.00°
Positions (direct):
Ti  0.000  0.000  0.000
Mn  0.500  0.500  0.500
Pt  0.000  0.500  0.000
Pt  0.500  0.000  0.000
S  0.000  0.000  0.500

**Symmetry**: P4/mmm, No. 123
**Total DFT energy (no corrections)**: -6.38 eV per atom
**Raw formation energy**: 278 meV/atom
**DOS at the Fermi energy**: 1.85 states/eV/f.u.
**M_tot**: 4.7 μB/cell
**ρ**: 8.5 g/cm3

=====

(8)
A plane-wave DFT calculation with PBE was carried out for a relaxed structure of Tm4AsPbSe2.

Cell: 7.148 4.135 7.208 Å, 90.00 109.47 90.00°
Positions (direct):
Tm  0.243  0.000  0.239
Tm  0.252  0.500  0.760
Tm  0.748  0.500  0.240
Tm  0.757  0.000  0.761
As  0.000  0.500  0.000
Pb  0.000  0.000  0.500
Se  0.500  0.000  0.000
Se  0.500  0.500  0.500

**Symmetry**: P2/m, No. 10
**Total DFT energy (no corrections)**: -5.47 eV per atom
**Raw formation energy**: -1323 meV/atom
**DOS at the Fermi energy**: 2.11 states/eV/f.u.
**M_tot**: 0.0 μB/cell
**ρ**: 9.2 g/cm3

=====

(9)
A plane-wave DFT calculation with PBE was carried out for a relaxed structure of PrTlCl2.

Cell: 10.686 10.686 10.686 Å, 19.99 19.99 19.99°
Positions (direct):
Pr  0.000  0.000  0.000
Tl  0.500  0.500  0.500
Cl  0.395  0.395  0.395
Cl  0.605  0.605  0.605

**Symmetry**: R-3m, No. 166
**Total DFT energy (no corrections)**: -4.08 eV per atom
**Raw formation energy**: -1374 meV/atom
**DOS at the Fermi energy**: 3.02 states/eV/f.u.
**M_tot**: 0.0 μB/cell
**ρ**: 5.5 g/cm3

=====

(10)
A plane-wave DFT calculation with PBE was carried out for a relaxed structure of TbPr5Tm3.

Cell: 9.755 9.755 9.755 Å, 122.83 122.83 85.16°
Positions (direct):
Tb  0.250  0.750  0.500
Tb  0.750  0.250  0.500
Pr  0.000  0.000  0.000
Pr  0.068  0.568  0.901
Pr  0.167  0.068  0.500
Pr  0.333  0.833  0.901
Pr  0.432  0.333  0.500
Pr  0.500  0.500  0.000
Pr  0.568  0.667  0.500
Pr  0.667  0.167  0.099
Pr  0.833  0.932  0.500
Pr  0.932  0.432  0.099
Tm  0.109  0.391  0.500
Tm  0.250  0.250  0.000
Tm  0.391  0.891  0.281
Tm  0.609  0.109  0.719
Tm  0.750  0.750  0.000
Tm  0.891  0.609  0.500

**Symmetry**: I4/mcm, No. 140
**Total DFT energy (no corrections)**: -4.35 eV per atom
**DOS at the Fermi energy**: 13.54 states/eV/f.u.
**Formation enthalpy at 0 K**: 0.311 eV/atom
**E above lowest polymorph**: 36 meV per atom
**M_tot**: 0.0 μB/cell
**ρ**: 7.3 g/cm3

=====

(11)
A plane-wave DFT calculation with PBE was carried out for a relaxed structure of Ba2CuReBi.

Cell: 6.097 6.097 5.207 Å, 90.00 90.00 90.00°
Positions (direct):
Ba  0.000  0.500  0.000
Ba  0.500  0.000  0.000
Cu  0.000  0.000  0.500
Re  0.500  0.500  0.000
Bi  0.500  0.500  0.500

**Symmetry**: P4/mmm, No. 123
**Total DFT energy (no corrections)**: -4.29 eV per atom
**DOS at the Fermi energy**: 3.57 states/eV/f.u.
**Formation enthalpy at 0 K**: 0.568 eV/atom
**E above lowest polymorph**: 0 meV per atom
**M_tot**: 0.0 μB/cell
**ρ**: 6.3 g/cm3

=====

(12)
A plane-wave DFT calculation with PBE was carried out for a relaxed structure of Bi3Sb.

Cell: 4.976 4.976 4.976 Å, 90.00 90.00 90.00°
Positions (direct):
Bi  0.000  0.000  0.500
Bi  0.000  0.500  0.000
Bi  0.500  0.000  0.000
Sb  0.500  0.500  0.500

**Symmetry**: Pm-3m, No. 221
**Total DFT energy (no corrections)**: -3.71 eV per atom
**Raw formation energy**: 234 meV/atom
**DOS at the Fermi energy**: 4.24 states/eV/f.u.
**E above lowest polymorph**: 240 meV per atom
**M_tot**: 0.0 μB/cell
**ρ**: 10.1 g/cm3